AlCdInAg2 | PBE | optimized geometry

For the formation energy, the calculation gives 0.594 eV per atom. The value obtained for the total energy is -2.025 eV/atom. As for the density of states at the Fermi level: 0.4146 states/eV per atom. The value obtained for the size of the total moment is 0.000 μB per formula unit.

The space group is P4/mmm (No. 123) and the conventional cell measures 5.281, 5.281 and 5.139 Å, with angles of 90.00, 90.00 and 90.00 degrees. The inequivalent atoms are Al at (0.000, 0.000, 0.000), Cd at (0.500, 0.500, 0.000), In at (0.000, 0.000, 0.500) and Ag at (0.000, 0.500, 0.500).